[1]
# MnTeW2 PBE optimized geometry
data_MnTeW2
_space_group_name_H-M_alt 'P 1'
_space_group_IT_number 1
_cell_length_a 4.582
_cell_length_b 3.822
_cell_length_c 3.822
_cell_angle_alpha 90.00
_cell_angle_beta 90.00
_cell_angle_gamma 90.00
loop_
_space_group_symop_operation_xyz
'x,y,z'
loop_
_atom_site_label
_atom_site_type_symbol
_atom_site_fract_x
_atom_site_fract_y
_atom_site_fract_z
Te1 Te 0.500 0.000 0.500
W1 W 0.000 0.000 0.000
W2 W 0.000 0.500 0.500
Mn1 Mn 0.500 0.500 0.000
# Total energy ... -8.862 eV per atom
# SG ... P4/mmm, No. 123

[2]
# MnTeW PBE optimized geometry
data_MnTeW
_space_group_name_H-M_alt 'P 1'
_space_group_IT_number 1
_cell_length_a 4.187
_cell_length_b 4.187
_cell_length_c 4.187
_cell_angle_alpha 60.00
_cell_angle_beta 60.00
_cell_angle_gamma 60.00
loop_
_space_group_symop_operation_xyz
'x,y,z'
loop_
_atom_site_label
_atom_site_type_symbol
_atom_site_fract_x
_atom_site_fract_y
_atom_site_fract_z
Te1 Te 0.000 0.000 0.000
W1 W 0.500 0.500 0.500
Mn1 Mn 0.750 0.750 0.750
# Total energy ... -8.025 eV per atom
# SG ... F-43m, No. 216
# E above lowest polymorph ... 0.0 meV/atom